(1)
A plane-wave DFT calculation with PBE was carried out for a relaxed structure of CdCo3B.

Results
Energy relative to the elements = 2527 meV/atom
V = 102.8 Å³/f.u.

Cell: 4.684 4.684 4.684 Å, 90.00 90.00 90.00°
Atoms (fractional coordinates):
1 Cd 0.000 0.000 0.000
2 Co 0.000 0.000 0.500
3 Co 0.000 0.500 0.000
4 Co 0.500 0.000 0.000
5 B 0.500 0.500 0.500



(2)
A plane-wave DFT calculation with PBE was carried out for a relaxed structure of TlZn3Se.

Results
V = 131.5 Å³/f.u.
ΔE_f (raw) = 0.35 eV/atom

Cell: 5.085 5.085 5.085 Å, 90.00 90.00 90.00°
Atoms (fractional coordinates):
1 Tl 0.000 0.000 0.000
2 Zn 0.000 0.500 0.500
3 Zn 0.500 0.000 0.500
4 Zn 0.500 0.500 0.000
5 Se 0.500 0.500 0.500



(3)
A plane-wave DFT calculation with PBE was carried out for a relaxed structure of Hf3HN.

Results
V = 76.3 Å³/f.u.
Uncorrected energy = -8.878 eV per atom

Cell: 5.956 3.238 7.915 Å, 90.00 91.77 90.00°
Atoms (fractional coordinates):
1 Hf 0.114 0.250 0.368
2 Hf 0.231 0.250 0.999
3 Hf 0.383 0.750 0.673
4 Hf 0.617 0.250 0.327
5 Hf 0.769 0.750 0.001
6 Hf 0.886 0.750 0.632
7 H 0.391 0.750 0.408
8 H 0.609 0.250 0.592
9 N 0.099 0.750 0.858
10 N 0.901 0.250 0.142



(4)
A plane-wave DFT calculation with PBE was carried out for a relaxed structure of KZrTa2.

Results
Energy relative to the elements = 1538 meV/atom
V = 92.7 Å³/f.u.

Cell: 4.184 4.184 21.174 Å, 90.00 90.00 90.00°
Atoms (fractional coordinates):
1 K 0.000 0.000 0.000
2 K 0.000 0.500 0.250
3 K 0.500 0.000 0.750
4 K 0.500 0.500 0.500
5 Zr 0.000 0.000 0.500
6 Zr 0.000 0.500 0.750
7 Zr 0.500 0.000 0.250
8 Zr 0.500 0.500 0.000
9 Ta 0.225 0.250 0.625
10 Ta 0.250 0.725 0.875
11 Ta 0.250 0.775 0.375
12 Ta 0.275 0.250 0.125
13 Ta 0.725 0.750 0.125
14 Ta 0.750 0.225 0.375
15 Ta 0.750 0.275 0.875
16 Ta 0.775 0.750 0.625